TmScTlIn: relaxed, PBE.

Results
* total magnetization: 0.53 μB/f.u.
* energy relative to the elements: -132 kJ/mol of formula units

Lattice parameters (Å, degrees): 5.452 5.452 5.452 127.93 127.93 76.74
Element x y z (fractional)
Tm (0.000, 0.000, 0.000)
Sc (0.500, 0.500, 0.000)
Tl (0.250, 0.750, 0.500)
In (0.750, 0.250, 0.500)